(1)
LaIrRu2: relaxed, PBE.

Calculated values
Excess energy over the best structure of this formula in the dataset: 0.54 eV/f.u.

Cell: 2.9309 4.5902 5.5353 Å, 90.00 101.13 90.00°
Last column: nearest neighbours and their distance in Å.
Space group P2/m (No. 10)
Unique sites:
La 0.0000 0.0000 0.0000 x1  2 Ir 2.87, 2 La 2.93, 4 Ru 3.09
Ir 0.5000 0.0000 0.5000 x1  4 Ru 2.64, 2 La 2.87, 2 Ir 2.93
Ru 0.3187 0.5000 0.6982 x2  2 Ru 2.59-2.62, 2 Ir 2.64

(2)
SmAl4Pd: relaxed, PBE.

Calculated values
Energy: -4.17 eV per atom

Cell: 6.3607 6.3607 7.0563 Å, 90.00 90.00 90.00°
Last column: nearest neighbours and their distance in Å.
Space group P4/mbm (No. 127)
Unique sites:
Sm 0.0000 0.5000 0.0000 x2  12 Al 3.40-3.77
Al 0.0000 0.0000 0.1684 x4  1 Pd 2.34, 1 Al 2.38
Al 0.1489 0.3511 0.5000 x4  2 Pd 2.43, 1 Al 2.68
Pd 0.0000 0.0000 0.5000 x2  6 Al 2.34-2.43

no.,D(E_F) (states/eV per cell)
1,5.920
2,7.601